A relaxed CoRe2C crystal, computed with PBE-GGA.

```
CoRe2C
1.0
1.384 0.799 7.716
-1.384 0.799 7.716
0.000 -1.598 7.716
Co Re C
1 2 1
Cartesian
0.000 0.000 0.000 Co
0.000 0.000 2.433 Re
0.000 0.000 20.715 Re
0.000 0.000 11.574 C
```

## Properties
Total magnetization (μB per formula unit): 1.67
DFT formation energy (eV per atom): 0.822
SG: R-3m

=====

A relaxed Co3ReC crystal, computed with PBE-GGA.

```
Co3ReC
1.0
4.419 0.000 0.000
0.000 4.419 0.000
0.000 0.000 4.419
Co Re C
3 1 1
Cartesian
0.000 0.000 2.209 Co
0.000 2.209 0.000 Co
2.209 0.000 0.000 Co
0.000 0.000 0.000 Re
2.209 2.209 2.209 C
```

## Properties
Total magnetization (μB per formula unit): 1.94
DFT formation energy (eV per atom): 2.752
Polymorph energy (0 for the lowest one) (eV per atom): 2.3220
SG: Pm-3m

=====

A relaxed CoReC3 crystal, computed with PBE-GGA.

```
CoReC3
1.0
3.658 0.000 0.000
0.000 3.658 0.000
0.000 0.000 3.658
Co Re C
1 1 3
Cartesian
0.000 0.000 0.000 Co
1.829 1.829 1.829 Re
0.000 0.000 1.829 C
0.000 1.829 0.000 C
1.829 0.000 0.000 C
```

## Properties
Total magnetization (μB per formula unit): 0.00
DFT formation energy (eV per atom): 2.384
Polymorph energy (0 for the lowest one) (eV per atom): 0.3305
SG: Pm-3m

=====

Repeat the third record exactly.
A relaxed CoReC3 crystal, computed with PBE-GGA.

```
CoReC3
1.0
3.658 0.000 0.000
0.000 3.658 0.000
0.000 0.000 3.658
Co Re C
1 1 3
Cartesian
0.000 0.000 0.000 Co
1.829 1.829 1.829 Re
0.000 0.000 1.829 C
0.000 1.829 0.000 C
1.829 0.000 0.000 C
```

## Properties
Total magnetization (μB per formula unit): 0.00
DFT formation energy (eV per atom): 2.384
Polymorph energy (0 for the lowest one) (eV per atom): 0.3305
SG: Pm-3m

=====

What did the second record say?
A relaxed Co3ReC crystal, computed with PBE-GGA.

```
Co3ReC
1.0
4.419 0.000 0.000
0.000 4.419 0.000
0.000 0.000 4.419
Co Re C
3 1 1
Cartesian
0.000 0.000 2.209 Co
0.000 2.209 0.000 Co
2.209 0.000 0.000 Co
0.000 0.000 0.000 Re
2.209 2.209 2.209 C
```

## Properties
Total magnetization (μB per formula unit): 1.94
DFT formation energy (eV per atom): 2.752
Polymorph energy (0 for the lowest one) (eV per atom): 2.3220
SG: Pm-3m

=====

Question: Which of these has the lowest DFT formation energy?
Answer: CoRe2C